No. 1
The following is a DFT calculation (PBE-GGA) of Ni2SnAu after structural relaxation.

Values from the calculation:
VASP energy: -4.578 eV per atom
Magnetic moment: 0.0 μB/f.u.
Symmetry: F-43m (216)

extended XYZ file:
```
4
Lattice="0.000 3.124 3.124 3.124 0.000 3.124 3.124 3.124 0.000" Properties=species:S:1:pos:R:3 pbc="T T T"
Au 1.562 1.562 1.562
Ni 0.000 0.000 0.000
Ni 4.686 4.686 4.686
Sn 3.124 3.124 3.124
```

***

No. 2
The following is a DFT calculation (PBE-GGA) of Ni3Sn5Au after structural relaxation.

Values from the calculation:
VASP energy: -4.533 eV per atom
Magnetic moment: 0.0 μB/f.u.
Symmetry: P6/mmm (191)

extended XYZ file:
```
9
Lattice="-3.240 1.830 3.693 -1.759 -0.783 -4.876 -1.899 -7.023 1.813" Properties=species:S:1:pos:R:3 pbc="T T T"
Au 0.000 0.000 0.000
Ni -2.570 -2.597 2.753
Ni -1.829 -3.903 -1.532
Ni -3.449 -2.988 0.315
Sn -3.133 -0.472 1.206
Sn -2.640 -1.343 -1.650
Sn -0.950 -3.512 0.907
Sn -4.259 -4.634 2.280
Sn -3.765 -5.505 -0.576
```

***

No. 3
The following is a DFT calculation (PBE-GGA) of NiSnAu2 after structural relaxation.

Values from the calculation:
VASP energy: -4.007 eV per atom
Magnetic moment: 0.0 μB/f.u.
Symmetry: F-43m (216)

extended XYZ file:
```
4
Lattice="0.000 3.274 3.274 3.274 0.000 3.274 3.274 3.274 0.000" Properties=species:S:1:pos:R:3 pbc="T T T"
Au 0.000 0.000 0.000
Au 4.910 4.910 4.910
Ni 1.637 1.637 1.637
Sn 3.274 3.274 3.274
```

***

No. 4
The following is a DFT calculation (PBE-GGA) of Sr2NiSn4Au after structural relaxation.

Values from the calculation:
VASP energy: -4.060 eV per atom
Magnetic moment: 0.0 μB/f.u.
Symmetry: Amm2 (38)

extended XYZ file:
```
8
Lattice="-3.465 -1.782 -2.478 -6.210 7.179 3.520 -4.437 9.093 -0.337" Properties=species:S:1:pos:R:3 pbc="T T T"
Au -8.807 13.461 2.633
Ni -3.640 2.024 -0.668
Sn -2.267 -0.073 -1.079
Sn -2.566 3.921 0.767
Sn -9.631 11.182 1.123
Sn -10.264 15.688 3.069
Sr -5.874 5.439 -0.001
Sr -6.467 9.884 1.933
```

***

No. 5
The following is a DFT calculation (PBE-GGA) of TaNiSnAu after structural relaxation.

Values from the calculation:
VASP energy: -6.012 eV per atom
Magnetic moment: 0.0 μB/f.u.
Symmetry: F-43m (216)

extended XYZ file:
```
4
Lattice="0.000 3.255 3.255 3.255 0.000 3.255 3.255 3.255 0.000" Properties=species:S:1:pos:R:3 pbc="T T T"
Au 3.255 3.255 3.255
Ni 4.882 4.882 4.882
Sn 0.000 0.000 0.000
Ta 1.627 1.627 1.627
```

***

No. 6
The following is a DFT calculation (PBE-GGA) of TcNiSnAu after structural relaxation.

Values from the calculation:
VASP energy: -5.609 eV per atom
Magnetic moment: 0.9 μB/f.u.
Symmetry: F-43m (216)

extended XYZ file:
```
4
Lattice="0.000 3.184 3.184 3.184 0.000 3.184 3.184 3.184 0.000" Properties=species:S:1:pos:R:3 pbc="T T T"
Au 3.184 3.184 3.184
Ni 4.775 4.775 4.775
Sn 0.000 0.000 0.000
Tc 1.592 1.592 1.592
```

***

No. 7
The following is a DFT calculation (PBE-GGA) of SrNiAu2 after structural relaxation.

Values from the calculation:
VASP energy: -3.541 eV per atom
Magnetic moment: 0.0 μB/f.u.
Symmetry: F-43m (216)

extended XYZ file:
```
4
Lattice="-2.154 -3.227 2.997 1.358 -0.263 4.703 -3.032 1.567 3.519" Properties=species:S:1:pos:R:3 pbc="T T T"
Au 0.000 0.000 0.000
Au -2.871 -1.442 8.414
Ni -0.957 -0.481 2.805
Sr -1.914 -0.961 5.609
```

***

No. 8
The following is a DFT calculation (PBE-GGA) of TaNiAu2 after structural relaxation.

Values from the calculation:
Formation enthalpy at 0 K: 0.014 eV per atom
VASP energy: -5.975 eV per atom
Magnetic moment: 0.0 μB/f.u.
Symmetry: F-43m (216)

extended XYZ file:
```
4
Lattice="2.244 1.295 3.664 -2.244 1.295 3.664 0.000 -2.591 3.664" Properties=species:S:1:pos:R:3 pbc="T T T"
Au 0.000 0.000 0.000
Au 0.000 0.000 8.243
Ni 0.000 0.000 2.748
Ta 0.000 0.000 5.496
```